This record from the Alexandria database describes YTa2Pb after structural relaxation. The functional is PBE.

The space group is Pmmm (No. 47) and the conventional cell measures 3.092, 4.921 and 6.055 Å, with angles of 90.00, 90.00 and 90.00 degrees. Symmetry generates all atoms from Y at (0.000, 0.000, 0.000), Ta at (0.500, 0.500, 0.232) and Pb at (0.000, 0.000, 0.500).

For the mass density, the calculation gives 11.86 Mg/m³. The calculated volume comes out at 92.1 Å³ per cell. Its calculated formation energy is 0.5664 eV per atom.

=====

This record from the Alexandria database describes YTa2Pb after structural relaxation. The functional is PBE.

The space group is P4/mmm (No. 123) and the conventional cell measures 3.066, 3.066 and 9.678 Å, with angles of 90.00, 90.00 and 90.00 degrees. Symmetry generates all atoms from Y at (0.000, 0.000, 0.000), Ta at (0.500, 0.500, 0.259) and Pb at (0.000, 0.000, 0.500).

For the mass density, the calculation gives 12.01 Mg/m³. The calculated volume comes out at 91.0 Å³ per cell. Its calculated formation energy is 0.5919 eV per atom.

=====

This record from the Alexandria database describes YTa2Pb after structural relaxation. The functional is PBE.

The space group is Cmmm (No. 65) and the conventional cell measures 3.772, 4.880 and 9.815 Å, with angles of 90.00, 90.00 and 90.00 degrees. Symmetry generates all atoms from Y at (0.000, 0.000, 0.000), Ta at (0.000, 0.500, 0.262) and Pb at (0.000, 0.000, 0.500).

For the mass density, the calculation gives 12.10 Mg/m³. The calculated volume comes out at 180.7 Å³ per cell. Its calculated formation energy is 0.5570 eV per atom.

=====

This record from the Alexandria database describes TaZnPb2 after structural relaxation. The functional is PBE.

The space group is Imm2 (No. 44) and the conventional cell measures 3.174, 5.161 and 11.140 Å, with angles of 90.00, 90.00 and 90.00 degrees. Symmetry generates all atoms from Ta at (0.000, 0.000, 0.000), Zn at (0.000, 0.500, 0.699), Pb at (0.000, 0.000, 0.455) and Pb at (0.000, 0.500, 0.243).

For the mass density, the calculation gives 12.02 Mg/m³. The calculated volume comes out at 182.5 Å³ per cell. Its calculated formation energy is 0.4628 eV per atom.

=====

This record from the Alexandria database describes Ta2ZnPb after structural relaxation. The functional is PBE.

The space group is P4/mmm (No. 123) and the conventional cell measures 3.044, 3.044 and 8.205 Å, with angles of 90.00, 90.00 and 90.00 degrees. Symmetry generates all atoms from Ta at (0.000, 0.000, 0.215), Zn at (0.500, 0.500, 0.000) and Pb at (0.500, 0.500, 0.500).

For the mass density, the calculation gives 13.86 Mg/m³. The calculated volume comes out at 76.0 Å³ per cell. Its calculated formation energy is 0.4227 eV per atom.

=====

This record from the Alexandria database describes Ta2ZnPb after structural relaxation. The functional is PBE.

The space group is I-42d (No. 122) and the conventional cell measures 4.005, 4.005 and 20.578 Å, with angles of 90.00, 90.00 and 90.00 degrees. Symmetry generates all atoms from Ta at (0.245, 0.250, 0.125), Zn at (0.000, 0.000, 0.000) and Pb at (0.000, 0.000, 0.500).

For the mass density, the calculation gives 12.77 Mg/m³. The calculated volume comes out at 330.0 Å³ per cell. Its calculated formation energy is 0.6583 eV per atom.

=====

This record from the Alexandria database describes TaZnPb2 after structural relaxation. The functional is PBE.

The space group is I-4m2 (No. 119) and the conventional cell measures 4.205, 4.205 and 10.038 Å, with angles of 90.00, 90.00 and 90.00 degrees. Symmetry generates all atoms from Ta at (0.000, 0.000, 0.000), Zn at (0.000, 0.500, 0.750), Pb at (0.000, 0.000, 0.500) and Pb at (0.000, 0.500, 0.250).

For the mass density, the calculation gives 12.36 Mg/m³. The calculated volume comes out at 177.5 Å³ per cell. Its calculated formation energy is 0.5799 eV per atom.

=====

This record from the Alexandria database describes TaZnPb2 after structural relaxation. The functional is PBE.

The space group is Pmmm (No. 47) and the conventional cell measures 3.190, 5.125 and 5.594 Å, with angles of 90.00, 90.00 and 90.00 degrees. Symmetry generates all atoms from Ta at (0.000, 0.000, 0.000), Zn at (0.500, 0.000, 0.500), Pb at (0.000, 0.500, 0.500) and Pb at (0.500, 0.500, 0.000).

For the mass density, the calculation gives 12.00 Mg/m³. The calculated volume comes out at 91.5 Å³ per cell. Its calculated formation energy is 0.6086 eV per atom.

=====

This record from the Alexandria database describes Ta2ZnPb after structural relaxation. The functional is PBE.

The space group is P4mm (No. 99) and the conventional cell measures 2.937, 2.937 and 9.742 Å, with angles of 90.00, 90.00 and 90.00 degrees. Symmetry generates all atoms from Ta at (0.000, 0.000, 0.000), Ta at (0.500, 0.500, 0.230), Zn at (0.000, 0.000, 0.426) and Pb at (0.500, 0.500, 0.741).

For the mass density, the calculation gives 12.53 Mg/m³. The calculated volume comes out at 84.1 Å³ per cell. Its calculated formation energy is 0.3636 eV per atom.

=====

This record from the Alexandria database describes TaZnPb2 after structural relaxation. The functional is PBE.

The space group is Pmm2 (No. 25) and the conventional cell measures 3.109, 3.916 and 7.845 Å, with angles of 90.00, 90.00 and 90.00 degrees. Symmetry generates all atoms from Ta at (0.000, 0.000, 0.000), Zn at (0.500, 0.500, 0.156), Pb at (0.000, 0.000, 0.394) and Pb at (0.500, 0.500, 0.757).

For the mass density, the calculation gives 11.49 Mg/m³. The calculated volume comes out at 95.5 Å³ per cell. Its calculated formation energy is 0.3833 eV per atom.

=====

This record from the Alexandria database describes TaZnPb2 after structural relaxation. The functional is PBE.

The space group is R3m (No. 160, hexagonal axes) and the conventional cell measures 3.1706, 3.1706 and 33.6245 Å, with angles of 90.00, 90.00 and 120.00 degrees. Symmetry generates all atoms from Ta at (0.0000, 0.0000, 0.0000), Zn at (0.0000, 0.0000, 0.2697), Pb at (0.0000, 0.0000, 0.5256) and Pb at (0.0000, 0.0000, 0.7449).

For the mass density, the calculation gives 11.24 Mg/m³. The calculated volume comes out at 292.7 Å³ per cell. Its calculated formation energy is 0.3372 eV per atom.

=====

This record from the Alexandria database describes TaZn2Pb after structural relaxation. The functional is PBE.

The space group is C2/m (No. 12) and the conventional cell measures 10.201, 3.092 and 5.074 Å, with angles of 90.00, 103.45 and 90.00 degrees. Symmetry generates all atoms from Ta at (0.000, 0.000, 0.000), Zn at (0.236, 0.500, 0.197) and Pb at (0.000, 0.500, 0.500).

For the mass density, the calculation gives 11.07 Mg/m³. The calculated volume comes out at 155.7 Å³ per cell. Its calculated formation energy is 0.3548 eV per atom.

=====

This record from the Alexandria database describes Ta2ZnPb after structural relaxation. The functional is PBE.

The space group is C2/m (No. 12) and the conventional cell measures 9.869, 3.561 and 4.613 Å, with angles of 90.00, 111.41 and 90.00 degrees. Symmetry generates all atoms from Ta at (0.243, 0.000, 0.238), Zn at (0.000, 0.500, 0.000) and Pb at (0.000, 0.000, 0.500).

For the mass density, the calculation gives 13.96 Mg/m³. The calculated volume comes out at 150.9 Å³ per cell. Its calculated formation energy is 0.3368 eV per atom.

=====

This record from the Alexandria database describes TaZn2Pb after structural relaxation. The functional is PBE.

The space group is Immm (No. 71) and the conventional cell measures 3.080, 4.971 and 10.136 Å, with angles of 90.00, 90.00 and 90.00 degrees. Symmetry generates all atoms from Ta at (0.000, 0.000, 0.000), Zn at (0.000, 0.500, 0.268) and Pb at (0.000, 0.000, 0.500).

For the mass density, the calculation gives 11.10 Mg/m³. The calculated volume comes out at 155.2 Å³ per cell. Its calculated formation energy is 0.3712 eV per atom.

=====

This record from the Alexandria database describes TaZn2Pb after structural relaxation. The functional is PBE.

The space group is Pmm2 (No. 25) and the conventional cell measures 2.935, 5.011 and 5.197 Å, with angles of 90.00, 90.00 and 90.00 degrees. Symmetry generates all atoms from Ta at (0.000, 0.000, 0.000), Zn at (0.500, 0.000, 0.524), Zn at (0.500, 0.500, 0.854) and Pb at (0.000, 0.500, 0.342).

For the mass density, the calculation gives 11.28 Mg/m³. The calculated volume comes out at 76.4 Å³ per cell. Its calculated formation energy is 0.3696 eV per atom.

=====

This record from the Alexandria database describes TaZn2Pb after structural relaxation. The functional is PBE.

The space group is R-3m (No. 166, hexagonal axes) and the conventional cell measures 3.1083, 3.1083 and 28.9774 Å, with angles of 90.00, 90.00 and 120.00 degrees. Symmetry generates all atoms from Ta at (0.0000, 0.0000, 0.0000), Zn at (0.0000, 0.0000, 0.2592) and Pb at (0.0000, 0.0000, 0.5000).

For the mass density, the calculation gives 10.66 Mg/m³. The calculated volume comes out at 242.5 Å³ per cell. Its calculated formation energy is 0.2825 eV per atom.

=====

This record from the Alexandria database describes TaZn2Pb2 after structural relaxation. The functional is PBE.

The space group is I4/mmm (No. 139) and the conventional cell measures 4.260, 4.260 and 12.954 Å, with angles of 90.00, 90.00 and 90.00 degrees. Symmetry generates all atoms from Ta at (0.000, 0.000, 0.000), Zn at (0.000, 0.000, 0.412) and Pb at (0.000, 0.500, 0.250).

For the mass density, the calculation gives 10.26 Mg/m³. The offset from the most stable computed form comes out at 196 kJ/mol of formula units. The calculated volume comes out at 235.1 Å³ per cell. Its calculated formation energy is 0.9178 eV per atom.

=====

This record from the Alexandria database describes TaZn2Pb after structural relaxation. The functional is PBE.

The space group is P4mm (No. 99) and the conventional cell measures 2.973, 2.973 and 9.308 Å, with angles of 90.00, 90.00 and 90.00 degrees. Symmetry generates all atoms from Ta at (0.000, 0.000, 0.000), Zn at (0.000, 0.000, 0.379), Zn at (0.500, 0.500, 0.204) and Pb at (0.500, 0.500, 0.730).

For the mass density, the calculation gives 10.47 Mg/m³. The calculated volume comes out at 82.3 Å³ per cell. Its calculated formation energy is 0.3103 eV per atom.

=====

This record from the Alexandria database describes TaZnPb2 after structural relaxation. The functional is PBE.

The space group is I-42d (No. 122) and the conventional cell measures 7.959, 7.959 and 6.047 Å, with angles of 90.00, 90.00 and 90.00 degrees. Symmetry generates all atoms from Ta at (0.000, 0.000, 0.000), Zn at (0.000, 0.000, 0.500) and Pb at (0.242, 0.250, 0.625).

For the mass density, the calculation gives 11.46 Mg/m³. The calculated volume comes out at 383.0 Å³ per cell. Its calculated formation energy is 0.8273 eV per atom.

=====

This record from the Alexandria database describes TaZn2Pb after structural relaxation. The functional is PBE.

The space group is I-4m2 (No. 119) and the conventional cell measures 3.968, 3.968 and 9.266 Å, with angles of 90.00, 90.00 and 90.00 degrees. Symmetry generates all atoms from Ta at (0.000, 0.000, 0.000), Zn at (0.000, 0.000, 0.500), Zn at (0.000, 0.500, 0.750) and Pb at (0.000, 0.500, 0.250).

For the mass density, the calculation gives 11.82 Mg/m³. The calculated volume comes out at 145.9 Å³ per cell. Its calculated formation energy is 0.2869 eV per atom.

=====

| no. | Fermi-level density of states (states/eV/cell) |
| --- | --- |
| 1 | 5.33 |
| 2 | 4.91 |
| 3 | 8.03 |
| 4 | 4.73 |
| 5 | 0.95 |
| 6 | 8.34 |
| 7 | 6.28 |
| 8 | 2.19 |
| 9 | 3.94 |
| 10 | 2.94 |
| 11 | 5.32 |
| 12 | 3.53 |
| 13 | 2.86 |
| 14 | 3.64 |
| 15 | 3.22 |
| 16 | 6.62 |
| 17 | 4.89 |
| 18 | 1.84 |
| 19 | 18.58 |
| 20 | 3.48 |